(1)
A plane-wave DFT calculation with PBE+U was carried out for Li2Ni3IrO6 after structural relaxation.

Values from the calculation:
total moment	7.0	μB/f.u.
E	-5.3552	eV per atom

Cell lengths 5.1581, 5.1581, 5.2110 Å; angles 99.72, 99.72, 119.74 degrees
Fractional positions:
Li (0.1651, 0.8349, 0.0000)
Li (0.8349, 0.1651, 0.0000)
Ni (0.0000, 0.0000, 0.5000)
Ni (0.3314, 0.6686, 0.5000)
Ni (0.6686, 0.3314, 0.5000)
Ir (0.5000, 0.5000, 0.0000)
O (0.0998, 0.4169, 0.7438)
O (0.2661, 0.2661, 0.2496)
O (0.4169, 0.0998, 0.7438)
O (0.5831, 0.9002, 0.2562)
O (0.7339, 0.7339, 0.7504)
O (0.9002, 0.5831, 0.2562)

***

(2)
A plane-wave DFT calculation with PBE+U was carried out for Li4Ni3IrO8 after structural relaxation.

Values from the calculation:
total moment	3.0	μB/f.u.
E	-5.3448	eV per atom

Cell lengths 5.9006, 5.9006, 5.9006 Å; angles 60.99, 60.99, 60.99 degrees
Fractional positions:
Li (0.0000, 0.0000, 0.0000)
Li (0.0000, 0.5000, 0.5000)
Li (0.5000, 0.0000, 0.5000)
Li (0.5000, 0.5000, 0.0000)
Ni (0.0000, 0.0000, 0.5000)
Ni (0.0000, 0.5000, 0.0000)
Ni (0.5000, 0.0000, 0.0000)
Ir (0.5000, 0.5000, 0.5000)
O (0.2384, 0.2384, 0.2384)
O (0.2612, 0.7363, 0.7363)
O (0.2637, 0.2637, 0.7388)
O (0.2637, 0.7388, 0.2637)
O (0.7363, 0.2612, 0.7363)
O (0.7363, 0.7363, 0.2612)
O (0.7388, 0.2637, 0.2637)
O (0.7616, 0.7616, 0.7616)

***

| no. | volume (Å³/atom) |
| --- | --- |
| 1 | 9.45 |
| 2 | 9.28 |